This record from the Alexandria database describes crystalline ThPa2Os at its relaxed geometry. The functional is PBE.

Cell: 4.3397 4.3397 6.6259 Å, 70.88 70.88 60.00°
Closest atoms and distances in Å follow each position.
Fractional positions:
Pa (0.7361, 0.7361, 0.7918)  3 Os 2.81, 3 Th 3.08
Pa (0.2639, 0.2639, 0.2082)  3 Os 2.81, 3 Th 3.08
Th (0.5000, 0.5000, 0.5000)  6 Pa 3.08
Os (0.0000, 0.0000, 0.0000)  6 Pa 2.81

Computed properties:
- excess energy over the best structure of this formula in the dataset (meV per atom) = 372
- formation energy from the elements (kJ/mol of formula units) = 105
- space-group type = R-3m (166)